The following is a DFT calculation (meta-GGA SCAN) of Be2ZnRh at its PBEsol-relaxed geometry.

* total magnetic moment: 0.00 μB per formula unit
* formation energy: -0.48 eV per atom

a = 2.884 Å, b = 3.718 Å, c = 7.888 Å
α = 90.00°, β = 90.00°, γ = 90.00°
Space group Imm2 (No. 44)
Unique sites:
1 Be 0.000 0.000 0.000 [2 per cell]
2 Be 0.000 0.500 0.265 [2 per cell]
3 Zn 0.000 0.000 0.511 [2 per cell]
4 Rh 0.000 0.500 0.742 [2 per cell]